Entry 1:
First-principles (PBE) data for a relaxed TbIrO6 crystal, as listed in the Alexandria database.

Geometry as POSCAR:
```
TbIrO6
1.0
-4.1488 -1.1034 0.0800
1.4028 -2.4435 3.2401
-1.3603 3.1839 3.7400
Ir O Tb
1 6 1
Direct
0.0000 0.0000 0.0000
0.6652 0.0516 0.2663
0.2845 0.2845 0.1476
0.7155 0.7155 0.8524
0.0516 0.6652 0.2663
0.9484 0.3348 0.7337
0.3348 0.9484 0.7337
0.5000 0.5000 0.5000
```

Output
The calculation puts the calculated density at 8.12 g/cm³. The total magnetization is 0.00 μB per cell. Its uncorrected formation energy is -9.0 eV per formula unit.

---

Entry 2:
First-principles (PBE) data for a relaxed GaCu2Pt5 crystal, as listed in the Alexandria database.

Geometry as POSCAR:
```
GaCu2Pt5
1.0
-0.3363 -2.9699 2.6172
5.4470 -0.1314 0.5509
-0.6399 7.1513 8.0329
Cu Pt Ga
4 10 2
Direct
0.5000 0.7891 0.1333
0.5000 0.2109 0.8667
0.5000 0.7109 0.6333
0.5000 0.2891 0.3667
0.5000 0.7153 0.8863
0.5000 0.2153 0.6137
0.0000 0.0000 0.0000
0.0000 0.5000 0.5000
0.0000 0.0386 0.2572
0.0000 0.5386 0.2428
0.0000 0.9614 0.7428
0.5000 0.7847 0.3863
0.5000 0.2847 0.1137
0.0000 0.4614 0.7572
0.0000 0.0000 0.5000
0.0000 0.5000 0.0000
```

Output
The calculation puts the calculated density at 16.61 g/cm³. The total magnetization is 0.00 μB per cell. As for the energy of formation: -238 kJ/mol of formula units.